No. 1
A plane-wave DFT calculation with PBE-GGA was carried out for Pr6Ge3H after structural relaxation.

The structure belongs to space group P2_1/c (No. 14); the cell edges are 6.470, 8.249 and 12.017 Å and the angles 90.00°, 121.60° and 90.00°. The asymmetric unit holds Pr at (0.069, 0.185, 0.440), Pr at (0.295, 0.668, 0.441), Pr at (0.370, 0.040, 0.233), Ge at (0.170, 0.119, 0.747), Ge at (0.500, 0.000, 0.500) and H at (0.000, 0.000, 0.000).

The value obtained for the magnetic moment is 0.00 μB/cell.

=====

No. 2
A plane-wave DFT calculation with PBE-GGA was carried out for Pr4Ge2H after structural relaxation.

The structure belongs to space group I4/mmm (No. 139); the cell edges are 4.630, 4.630 and 16.756 Å and the angles 90.00°, 90.00° and 90.00°. The asymmetric unit holds Pr at (0.000, 0.000, 0.183), Pr at (0.000, 0.500, 0.000), Ge at (0.000, 0.000, 0.365) and H at (0.000, 0.000, 0.000).

The value obtained for the magnetic moment is 0.00 μB/cell. Its energy above the lowest structure with this stoichiometry is 0.009 eV/atom.

=====

No. 3
A plane-wave DFT calculation with PBE-GGA was carried out for Pr2GeH after structural relaxation.

The structure belongs to space group Pnma (No. 62); the cell edges are 7.782, 4.250 and 11.320 Å and the angles 90.00°, 90.00° and 90.00°. The asymmetric unit holds Pr at (0.027, 0.250, 0.206), Pr at (0.194, 0.750, 0.456), Ge at (0.173, 0.250, 0.661) and H at (0.230, 0.250, 0.366).

The value obtained for the magnetic moment is 0.00 μB/cell. Its energy above the lowest structure with this stoichiometry is 0.000 eV/atom.

=====

No. 4
A plane-wave DFT calculation with PBE-GGA was carried out for Pr4Ge2H after structural relaxation.

The structure belongs to space group P2_1/m (No. 11); the cell edges are 6.627, 6.618 and 8.869 Å and the angles 90.00°, 109.26° and 90.00°. The asymmetric unit holds Pr at (0.011, 0.001, 0.265), Pr at (0.409, 0.250, 0.089), Pr at (0.431, 0.250, 0.622), Ge at (0.217, 0.750, 0.050), Ge at (0.268, 0.750, 0.572) and H at (0.250, 0.250, 0.811).

The value obtained for the magnetic moment is 0.00 μB/cell. Its energy above the lowest structure with this stoichiometry is 0.000 eV/atom.

=====

No. 5
A plane-wave DFT calculation with PBE-GGA was carried out for Pr4GeH after structural relaxation.

The structure belongs to space group P-1 (No. 2); the cell edges are 7.099, 7.229 and 7.713 Å and the angles 105.63°, 117.22° and 90.05°. The asymmetric unit holds Pr at (0.028, 0.480, 0.215), Pr at (0.186, 0.979, 0.215), Pr at (0.273, 0.843, 0.725), Pr at (0.453, 0.343, 0.725), Ge at (0.284, 0.250, 0.000), H at (0.000, 0.500, 0.500) and H at (0.500, 0.000, 0.500).

The value obtained for the magnetic moment is 0.00 μB/cell.

=====

No. 6
A plane-wave DFT calculation with PBE-GGA was carried out for Pr6Ge2H after structural relaxation.

The structure belongs to space group P2_1/c (No. 14); the cell edges are 6.496, 7.951 and 11.623 Å and the angles 90.00°, 123.77° and 90.00°. The asymmetric unit holds Pr at (0.072, 0.197, 0.448), Pr at (0.323, 0.683, 0.448), Pr at (0.385, 0.031, 0.254), Ge at (0.167, 0.117, 0.746) and H at (0.000, 0.000, 0.000).

The value obtained for the magnetic moment is 0.00 μB/cell.

=====

No. 7
A plane-wave DFT calculation with PBE-GGA was carried out for Pr2GeH after structural relaxation.

The structure belongs to space group P3_121 (No. 152); the cell edges are 6.4107, 6.4107 and 8.4257 Å and the angles 90.00°, 90.00° and 120.00°. The asymmetric unit holds Pr at (0.1067, 0.3922, 0.3801), Ge at (0.0000, 0.5963, 0.6667) and H at (0.0000, 0.5475, 0.1667).

The value obtained for the magnetic moment is 0.00 μB/cell. Its energy above the lowest structure with this stoichiometry is 0.177 eV/atom.

=====

No. 8
A plane-wave DFT calculation with PBE-GGA was carried out for Pr2GeH after structural relaxation.

The structure belongs to space group R-3m (No. 166, hexagonal axes); the cell edges are 4.4220, 4.4220 and 22.9345 Å and the angles 90.00°, 90.00° and 120.00°. The asymmetric unit holds Pr at (0.0000, 0.0000, 0.0991), Ge at (0.0000, 0.0000, 0.5000) and H at (0.0000, 0.0000, 0.0000).

The value obtained for the magnetic moment is 0.00 μB/cell. Its energy above the lowest structure with this stoichiometry is 0.308 eV/atom.

=====

Number 1: total energy -102.601 eV/cell. Number 2: total energy -71.619 eV/cell. Number 3: total energy -80.638 eV/cell. Number 4: total energy -71.749 eV/cell. Number 5: total energy -57.729 eV/cell. Number 6: total energy -90.928 eV/cell. Number 7: total energy -58.351 eV/cell. Number 8: total energy -56.782 eV/cell.